(1)
RuBrCl5 | GGA-PBE | relaxed

Cell: 10.0140 10.0152 7.5080 Å, 96.26 57.53 132.78°
Positions (direct):
1 Cl 0.7713 0.1285 0.3570
2 Cl 0.5568 0.2787 0.3831
3 Cl 0.9477 0.9404 0.3315
4 Cl 0.2859 0.8398 0.3800
5 Cl 0.8382 0.0598 0.8828
6 Cl 0.4996 0.1600 0.8342
7 Cl 0.5058 0.6663 0.3342
8 Cl 0.0143 0.8714 0.8574
9 Cl 0.2801 0.3339 0.8800
10 Cl 0.2287 0.7211 0.8312
11 Ru 0.8929 0.0001 0.1072
12 Ru 0.3927 0.9999 0.6072
13 Br 0.8928 0.4999 0.6070
14 Br 0.3932 0.5002 0.1070

Calculated values
* calculated total energy: -0.236 Ry/atom
* formation energy (no corrections): -32.01 kJ per mole of atoms
* magnetization: 2.00 μB/f.u.
* space-group type: No. 15

(2)
RuBrCl2 | GGA-PBE | relaxed

Cell: 8.1715 8.1715 8.1715 Å, 25.76 25.76 25.76°
Positions (direct):
1 Br 0.7761 0.7761 0.7761
2 Cl 0.2195 0.2195 0.2195
3 Cl 0.0044 0.0044 0.0044
4 Ru 0.5000 0.5000 0.5000

Calculated values
* calculated total energy: -0.267 Ry/atom
* formation energy (no corrections): 2.98 kJ per mole of atoms
* magnetization: 1.03 μB/f.u.
* ΔE to the lowest computed polymorph: 483 meV/atom
* space-group type: No. 160

(3)
RuBr2Cl | GGA-PBE | relaxed

Cell: 3.7531 7.1923 7.1910 Å, 38.59 90.00 90.00°
Positions (direct):
1 Br 0.0000 0.6250 0.6248
2 Br 0.0000 0.8750 0.8752
3 Ru 0.5000 0.7500 0.7500
4 Cl 0.5000 0.2500 0.2500

Calculated values
* calculated total energy: -0.283 Ry/atom
* formation energy (no corrections): -23.01 kJ per mole of atoms
* magnetization: 1.34 μB/f.u.
* ΔE to the lowest computed polymorph: 0 meV/atom
* space-group type: No. 65

(4)
RuBr2Cl | GGA-PBE | relaxed

Cell: 3.7289 3.7289 7.8416 Å, 76.30 76.30 60.00°
Positions (direct):
1 Cl 0.7500 0.7500 0.7500
2 Ru 0.2500 0.2500 0.2500
3 Br 0.5238 0.5238 0.4295
4 Br 0.9762 0.9762 0.0705

Calculated values
* calculated total energy: -0.261 Ry/atom
* formation energy (no corrections): 6.82 kJ per mole of atoms
* magnetization: 0.73 μB/f.u.
* ΔE to the lowest computed polymorph: 309 meV/atom
* space-group type: No. 12

(5)
RuBr2Cl | GGA-PBE | relaxed

Cell: 4.9877 4.9877 4.9877 Å, 60.00 60.00 60.00°
Positions (direct):
1 Br 0.0000 0.0000 0.0000
2 Br 0.2500 0.2500 0.2500
3 Ru 0.7500 0.7500 0.7500
4 Cl 0.5000 0.5000 0.5000

Calculated values
* calculated total energy: -0.202 Ry/atom
* formation energy (no corrections): 83.90 kJ per mole of atoms
* magnetization: 3.94 μB/f.u.
* ΔE to the lowest computed polymorph: 1108 meV/atom
* space-group type: No. 216

(6)
RuBrCl2 | GGA-PBE | relaxed

Cell: 12.6426 12.6426 12.6426 Å, 13.65 13.65 13.65°
Positions (direct):
1 Cl 0.0584 0.0584 0.0584
2 Cl 0.9416 0.9416 0.9416
3 Br 0.5000 0.5000 0.5000
4 Ru 0.0000 0.0000 0.0000

Calculated values
* calculated total energy: -0.254 Ry/atom
* formation energy (no corrections): 20.39 kJ per mole of atoms
* magnetization: 0.00 μB/f.u.
* ΔE to the lowest computed polymorph: 663 meV/atom
* space-group type: No. 166

(7)
RuBr5Cl2 | GGA-PBE | relaxed

Cell: 6.3951 8.1973 8.1980 Å, 105.97 68.45 68.33°
Positions (direct):
1 Br 0.8869 0.8536 0.2393
2 Br 0.3441 0.9544 0.9548
3 Br 0.6124 0.3440 0.3436
4 Br 0.9939 0.7641 0.7642
5 Br 0.8868 0.2394 0.8536
6 Ru 0.9096 0.0377 0.0377
7 Cl 0.9061 0.0500 0.5338
8 Cl 0.9062 0.5338 0.0499

Calculated values
* calculated total energy: -0.196 Ry/atom
* formation energy (no corrections): 0.10 kJ per mole of atoms
* magnetization: 2.24 μB/f.u.
* space-group type: No. 1

(8)
RuBrCl2 | GGA-PBE | relaxed

Cell: 6.9887 6.9887 6.6426 Å, 58.26 58.26 90.00°
Positions (direct):
1 Ru 0.0000 0.0000 0.0000
2 Ru 0.7500 0.2500 0.5000
3 Cl 0.3750 0.2527 0.7500
4 Cl 0.7473 0.1250 0.2500
5 Cl 0.8750 0.9973 0.7500
6 Cl 0.0027 0.6250 0.2500
7 Br 0.5000 0.5000 0.0000
8 Br 0.2500 0.7500 0.5000

Calculated values
* calculated total energy: -0.253 Ry/atom
* formation energy (no corrections): 20.55 kJ per mole of atoms
* magnetization: 0.00 μB/f.u.
* ΔE to the lowest computed polymorph: 665 meV/atom
* space-group type: No. 122

(9)
RuBr2Cl | GGA-PBE | relaxed

Cell: 6.6856 6.6856 6.6856 Å, 152.03 125.83 62.05°
Positions (direct):
1 Ru 0.7475 0.2475 0.5000
2 Br 0.9118 0.9118 0.0000
3 Br 0.2446 0.7446 0.5000
4 Cl 0.5962 0.5962 0.0000

Calculated values
* calculated total energy: -0.257 Ry/atom
* formation energy (no corrections): 12.01 kJ per mole of atoms
* magnetization: 2.49 μB/f.u.
* ΔE to the lowest computed polymorph: 363 meV/atom
* space-group type: No. 44

(10)
RuBrCl3 | GGA-PBE | relaxed

Cell: 4.8052 4.8052 4.8052 Å, 90.00 90.00 90.00°
Positions (direct):
1 Cl 0.0000 0.5000 0.0000
2 Cl 0.0000 0.0000 0.5000
3 Cl 0.5000 0.0000 0.0000
4 Ru 0.0000 0.0000 0.0000
5 Br 0.5000 0.5000 0.5000

Calculated values
* calculated total energy: -0.236 Ry/atom
* formation energy (no corrections): 8.16 kJ per mole of atoms
* magnetization: 2.24 μB/f.u.
* ΔE to the lowest computed polymorph: 479 meV/atom
* space-group type: No. 221

(11)
RuBrCl2 | GGA-PBE | relaxed

Cell: 10.3119 10.3119 10.3119 Å, 19.67 19.67 19.67°
Positions (direct):
1 Cl 0.8751 0.8751 0.8751
2 Cl 0.1249 0.1249 0.1249
3 Ru 0.5000 0.5000 0.5000
4 Br 0.0000 0.0000 0.0000

Calculated values
* calculated total energy: -0.272 Ry/atom
* formation energy (no corrections): -3.92 kJ per mole of atoms
* magnetization: 0.73 μB/f.u.
* ΔE to the lowest computed polymorph: 411 meV/atom
* space-group type: No. 166

(12)
Ru2Br2Cl7 | GGA-PBE | relaxed

Cell: 9.0690 6.4729 6.4729 Å, 68.47 93.94 93.94°
Positions (direct):
1 Ru 0.9864 0.7625 0.7625
2 Ru 0.0136 0.2375 0.2375
3 Br 0.5000 0.8418 0.1582
4 Br 0.5000 0.1582 0.8418
5 Cl 0.8407 0.0627 0.5108
6 Cl 0.1329 0.4290 0.4290
7 Cl 0.8407 0.5108 0.0627
8 Cl 0.1593 0.4892 0.9373
9 Cl 0.1593 0.9373 0.4892
10 Cl 0.8671 0.5710 0.5710
11 Cl 0.0000 0.0000 0.0000

Calculated values
* calculated total energy: -0.250 Ry/atom
* formation energy (no corrections): -23.33 kJ per mole of atoms
* magnetization: 2.63 μB/f.u.
* space-group type: No. 12

(13)
RuBrCl2 | GGA-PBE | relaxed

Cell: 7.3870 7.3870 7.3870 Å, 156.02 143.32 44.30°
Positions (direct):
1 Cl 0.6403 0.1403 0.5000
2 Cl 0.0030 0.0030 0.0000
3 Ru 0.5028 0.5028 0.0000
4 Br 0.3539 0.8539 0.5000

Calculated values
* calculated total energy: -0.265 Ry/atom
* formation energy (no corrections): 5.79 kJ per mole of atoms
* magnetization: 0.29 μB/f.u.
* ΔE to the lowest computed polymorph: 512 meV/atom
* space-group type: No. 44

(14)
RuBr2Cl | GGA-PBE | relaxed

Cell: 11.7307 11.7307 11.7307 Å, 14.88 14.88 14.88°
Positions (direct):
1 Br 0.9321 0.9321 0.9321
2 Br 0.0679 0.0679 0.0679
3 Ru 0.0000 0.0000 0.0000
4 Cl 0.5000 0.5000 0.5000

Calculated values
* calculated total energy: -0.230 Ry/atom
* formation energy (no corrections): 46.86 kJ per mole of atoms
* magnetization: 0.00 μB/f.u.
* ΔE to the lowest computed polymorph: 724 meV/atom
* space-group type: No. 166

(15)
RuBr2Cl | GGA-PBE | relaxed

Cell: 3.6962 6.9293 6.9287 Å, 41.60 90.00 90.00°
Positions (direct):
1 Br 0.5000 0.2154 0.2156
2 Br 0.0000 0.8873 0.8867
3 Ru 0.5000 0.7602 0.7605
4 Cl 0.0000 0.6371 0.6372

Calculated values
* calculated total energy: -0.283 Ry/atom
* formation energy (no corrections): -22.18 kJ per mole of atoms
* magnetization: 0.86 μB/f.u.
* ΔE to the lowest computed polymorph: 9 meV/atom
* space-group type: No. 38

(16)
RuBrCl2 | GGA-PBE | relaxed

Cell: 3.9504 3.9504 9.1811 Å, 90.00 90.00 129.83°
Positions (direct):
1 Cl 0.0000 0.0000 0.9887
2 Cl 0.5000 0.5000 0.3179
3 Br 0.5000 0.5000 0.6952
4 Ru 0.0000 0.0000 0.4983

Calculated values
* calculated total energy: -0.250 Ry/atom
* formation energy (no corrections): 25.63 kJ per mole of atoms
* magnetization: 3.02 μB/f.u.
* ΔE to the lowest computed polymorph: 717 meV/atom
* space-group type: No. 35

(17)
RuBrCl2 | GGA-PBE | relaxed

Cell: 3.3314 3.3314 11.2410 Å, 90.00 90.00 127.41°
Positions (direct):
1 Cl 0.0000 0.0000 0.0875
2 Cl 0.0000 0.0000 0.4125
3 Ru 0.5000 0.5000 0.2500
4 Br 0.5000 0.5000 0.7500

Calculated values
* calculated total energy: -0.261 Ry/atom
* formation energy (no corrections): 9.99 kJ per mole of atoms
* magnetization: 0.00 μB/f.u.
* ΔE to the lowest computed polymorph: 555 meV/atom
* space-group type: No. 65

(18)
RuBrCl2 | GGA-PBE | relaxed

Cell: 3.1284 3.1284 8.8039 Å, 90.00 90.00 90.00°
Positions (direct):
1 Cl 0.5000 0.5000 0.3358
2 Cl 0.0000 0.0000 0.9691
3 Ru 0.0000 0.0000 0.5175
4 Br 0.5000 0.5000 0.6776

Calculated values
* calculated total energy: -0.237 Ry/atom
* formation energy (no corrections): 42.42 kJ per mole of atoms
* magnetization: 0.74 μB/f.u.
* ΔE to the lowest computed polymorph: 892 meV/atom
* space-group type: No. 99

(19)
RuBrCl2 | GGA-PBE | relaxed

Cell: 3.3434 6.6059 4.2297 Å, 90.00 90.00 90.00°
Positions (direct):
1 Br 0.0000 0.5000 0.5000
2 Cl 0.0000 0.0000 0.0000
3 Cl 0.5000 0.5000 0.0000
4 Ru 0.5000 0.0000 0.5000

Calculated values
* calculated total energy: -0.214 Ry/atom
* formation energy (no corrections): 71.97 kJ per mole of atoms
* magnetization: 3.06 μB/f.u.
* ΔE to the lowest computed polymorph: 1198 meV/atom
* space-group type: No. 47

(20)
Ru2BrCl8 | GGA-PBE | relaxed

Cell: 4.8073 8.9503 8.9525 Å, 120.00 90.00 90.00°
Positions (direct):
1 Cl 0.2245 0.6182 0.8085
2 Cl 0.7755 0.3818 0.1915
3 Cl 0.2739 0.6670 0.3334
4 Cl 0.7755 0.8095 0.6180
5 Cl 0.7756 0.8084 0.1903
6 Cl 0.7261 0.3330 0.6666
7 Cl 0.2245 0.1905 0.3820
8 Cl 0.2244 0.1916 0.8097
9 Br 0.0000 0.0000 0.0000
10 Ru 0.2323 0.3334 0.6667
11 Ru 0.7677 0.6666 0.3333

Calculated values
* calculated total energy: -0.248 Ry/atom
* formation energy (no corrections): -18.20 kJ per mole of atoms
* magnetization: 1.71 μB/f.u.
* space-group type: No. 147